i:
Density functional theory data (PBE-GGA) for an optimized crystal structure of Y4ErTm2Ni2Te2.

Cell: 9.346 9.346 9.346 Å, 156.18 67.01 118.41°
Atoms (fractional coordinates):
Y  0.131  0.000  0.131
Y  0.206  0.852  0.354
Y  0.499  0.852  0.646
Y  0.869  0.000  0.869
Er  0.583  0.583  0.000
Tm  0.517  0.202  0.315
Tm  0.886  0.202  0.685
Ni  0.276  0.513  0.763
Ni  0.751  0.513  0.237
Te  0.248  0.248  0.000
Te  0.845  0.345  0.500

Results
* symmetry: Imm2, No. 44



ii:
Density functional theory data (PBE-GGA) for an optimized crystal structure of Y4ErTm2Ni2Te2.

Cell: 9.349 9.349 9.349 Å, 156.22 66.94 118.46°
Atoms (fractional coordinates):
Y  0.146  0.000  0.146
Y  0.168  0.352  0.816
Y  0.536  0.352  0.184
Y  0.854  0.000  0.854
Er  0.231  0.731  0.500
Tm  0.516  0.149  0.367
Tm  0.782  0.149  0.633
Ni  0.399  0.658  0.740
Ni  0.918  0.658  0.260
Te  0.497  0.497  0.000
Te  0.893  0.393  0.500

Results
* symmetry: Imm2, No. 44



Most stable = i



i:
Density functional theory data (PBE-GGA) for an optimized crystal structure of HfBNO.

Cell: 8.300 7.372 2.739 Å, 90.00 90.44 90.00°
Atoms (fractional coordinates):
Hf  0.000  0.239  0.000
Hf  0.000  0.761  0.000
Hf  0.500  0.261  0.000
Hf  0.500  0.739  0.000
B  0.262  0.000  0.495
B  0.272  0.500  0.504
B  0.762  0.500  0.495
B  0.772  0.000  0.504
N  0.350  0.000  0.997
N  0.369  0.500  0.006
N  0.850  0.500  0.997
N  0.869  0.000  0.006
O  0.174  0.335  0.502
O  0.174  0.665  0.502
O  0.674  0.165  0.502
O  0.674  0.835  0.502

Results
* symmetry: Cm, No. 8



ii:
Density functional theory data (PBE-GGA) for an optimized crystal structure of HfBNO.

Cell: 3.522 3.522 6.224 Å, 90.00 90.00 90.00°
Atoms (fractional coordinates):
Hf  0.250  0.250  0.194
Hf  0.750  0.750  0.806
B  0.250  0.750  0.500
B  0.750  0.250  0.500
N  0.250  0.250  0.533
N  0.750  0.750  0.467
O  0.250  0.750  0.000
O  0.750  0.250  0.000

Results
* symmetry: P4/nmm, No. 129



Most stable = i